Entry 1:
Material: Pr6NiAg
Method: DFT, GGA-PBE
State: relaxed

Summary:
- crystal system = monoclinic
- energy relative to the elements (meV/atom) = 35.9

Cell: 6.7767 6.7767 6.8013 Å, 100.61 100.61 115.37°
Sites, in units of the cell vectors:
Pr 0.2536 0.2536 0.7216
Pr 0.4755 0.1010 0.2571
Pr 0.7464 0.7464 0.2784
Pr 0.8990 0.5245 0.7429
Pr 0.5245 0.8990 0.7429
Pr 0.1010 0.4755 0.2571
Ni 0.5000 0.5000 0.5000
Ag 0.0000 0.0000 0.0000

***

Entry 2:
Material: Pr4NiAg
Method: DFT, GGA-PBE
State: relaxed

Summary:
- crystal system = monoclinic
- distance to the lowest polymorph of the same formula (meV/atom) = 0
- energy relative to the elements (meV/atom) = -146.7

Cell: 6.2826 7.1876 8.3438 Å, 90.00 109.96 90.00°
Sites, in units of the cell vectors:
Pr 0.5677 0.2500 0.4169
Pr 0.4323 0.7500 0.5831
Pr 0.5848 0.2500 0.8734
Pr 0.4152 0.7500 0.1266
Pr 0.9813 0.0031 0.2755
Pr 0.0187 0.5031 0.7245
Pr 0.9813 0.4969 0.2755
Pr 0.0187 0.9969 0.7245
Ni 0.2147 0.2500 0.5541
Ni 0.7853 0.7500 0.4459
Ag 0.2147 0.2500 0.0557
Ag 0.7853 0.7500 0.9443

***

Entry 3:
Material: Pr3Ni2Ag
Method: DFT, GGA-PBE
State: relaxed

Summary:
- crystal system = trigonal
- distance to the lowest polymorph of the same formula (meV/atom) = 77
- energy relative to the elements (meV/atom) = -152.3

Cell: 7.0499 7.0499 7.0499 Å, 71.03 71.03 71.03°
Sites, in units of the cell vectors:
Pr 0.4380 0.0620 0.7500
Pr 0.0620 0.7500 0.4380
Pr 0.7500 0.4380 0.0620
Pr 0.5620 0.9380 0.2500
Pr 0.9380 0.2500 0.5620
Pr 0.2500 0.5620 0.9380
Ni 0.3317 0.3317 0.3317
Ni 0.1683 0.1683 0.1683
Ni 0.8317 0.8317 0.8317
Ni 0.6683 0.6683 0.6683
Ag 0.5000 0.5000 0.5000
Ag 0.0000 0.0000 0.0000

***

Entry 4:
Material: Pr6Ni3Ag
Method: DFT, GGA-PBE
State: relaxed

Summary:
- crystal system = orthorhombic
- energy relative to the elements (meV/atom) = -81.1

Cell: 7.2938 8.9956 8.9956 Å, 105.93 90.00 90.00°
Sites, in units of the cell vectors:
Pr 0.1537 0.7093 0.6378
Pr 0.6537 0.6378 0.7093
Pr 0.2352 0.4756 0.9006
Pr 0.7352 0.9006 0.4756
Pr 0.2853 0.0119 0.9881
Pr 0.6017 0.2255 0.7745
Pr 0.1017 0.7745 0.2255
Pr 0.7853 0.9881 0.0119
Pr 0.2352 0.0994 0.5244
Pr 0.7352 0.5244 0.0994
Pr 0.1537 0.3622 0.2907
Pr 0.6537 0.2907 0.3622
Ni 0.4678 0.9226 0.7036
Ni 0.9678 0.7036 0.9226
Ni 0.3789 0.4056 0.5944
Ni 0.8789 0.5944 0.4056
Ni 0.9678 0.0774 0.2964
Ni 0.4678 0.2964 0.0774
Ag 0.0060 0.1746 0.8254
Ag 0.5060 0.8254 0.1746

***

Entry 5:
Material: Pr3Ni2Ag
Method: DFT, GGA-PBE
State: relaxed

Summary:
- crystal system = orthorhombic
- distance to the lowest polymorph of the same formula (meV/atom) = 0
- energy relative to the elements (meV/atom) = -229.7

Cell: 4.1531 7.4507 9.5902 Å, 90.00 90.00 90.00°
Sites, in units of the cell vectors:
Pr 0.5000 0.1880 0.1464
Pr 0.5000 0.2082 0.7589
Pr 0.0000 0.3296 0.4426
Pr 0.5000 0.6880 0.8536
Pr 0.5000 0.7082 0.2411
Pr 0.0000 0.8296 0.5574
Ni 0.0000 0.9789 0.2802
Ni 0.5000 0.0479 0.4306
Ni 0.0000 0.4789 0.7198
Ni 0.5000 0.5479 0.5694
Ag 0.0000 0.9487 0.9886
Ag 0.0000 0.4487 0.0114

***

Entry 6:
Material: PrNi2Ag
Method: DFT, GGA-PBE
State: relaxed

Summary:
- crystal system = trigonal
- energy relative to the elements (meV/atom) = -126.0

Cell: 4.3791 4.3791 5.2623 Å, 65.41 65.41 60.00°
Sites, in units of the cell vectors:
Pr 0.0000 0.0000 0.0000
Ni 0.8018 0.8018 0.5947
Ni 0.1982 0.1982 0.4053
Ag 0.5000 0.5000 0.5000

***

Entry 7:
Material: PrPuNiAg
Method: DFT, GGA-PBE
State: relaxed

Summary:
- crystal system = cubic
- energy relative to the elements (meV/atom) = 2.4

Cell: 5.0961 5.0961 5.0961 Å, 60.00 60.00 60.00°
Each line ends with the local moment (μB).
Sites, in units of the cell vectors:
Pr 0.5000 0.5000 0.5000  0.09
Ni 0.7500 0.7500 0.7500  -0.18
Ag 0.2500 0.2500 0.2500  0.03
Pu 0.0000 0.0000 0.0000  5.38

***

Entry 8:
Material: Pr2Ni3AgSb4
Method: DFT, GGA-PBE
State: relaxed

Summary:
- crystal system = tetragonal
- raw formation energy (meV/atom) = -572

Cell: 4.5499 4.5499 10.3347 Å, 90.00 90.00 90.00°
Sites, in units of the cell vectors:
Pr 0.5000 0.0000 0.2496
Pr 0.0000 0.5000 0.7504
Ni 0.0000 0.0000 0.5000
Ni 0.5000 0.0000 0.8837
Ni 0.0000 0.5000 0.1163
Ag 0.5000 0.5000 0.5000
Sb 0.5000 0.5000 0.0000
Sb 0.0000 0.0000 0.0000
Sb 0.5000 0.0000 0.6413
Sb 0.0000 0.5000 0.3587

***

Entry 9:
Material: SrPrNiAg
Method: DFT, GGA-PBE
State: relaxed

Summary:
- crystal system = cubic
- energy relative to the elements (meV/atom) = -81.9

Cell: 5.2442 5.2442 5.2442 Å, 60.00 60.00 60.00°
Sites, in units of the cell vectors:
Pr 0.0000 0.0000 0.0000
Sr 0.5000 0.5000 0.5000
Ag 0.7500 0.7500 0.7500
Ni 0.2500 0.2500 0.2500

***

Entry 10:
Material: TbPrNiAg
Method: DFT, GGA-PBE
State: relaxed

Summary:
- crystal system = cubic
- energy relative to the elements (meV/atom) = -233.5

Cell: 5.0944 5.0944 5.0944 Å, 60.00 60.00 60.00°
Sites, in units of the cell vectors:
Pr 0.7500 0.7500 0.7500
Ni 0.0000 0.0000 0.0000
Tb 0.2500 0.2500 0.2500
Ag 0.5000 0.5000 0.5000

***

Entry 11:
Material: PrThNiAg
Method: DFT, GGA-PBE
State: relaxed

Summary:
- crystal system = cubic
- energy relative to the elements (meV/atom) = -107.8

Cell: 5.1557 5.1557 5.1557 Å, 60.00 60.00 60.00°
Sites, in units of the cell vectors:
Pr 0.5000 0.5000 0.5000
Ni 0.7500 0.7500 0.7500
Ag 0.2500 0.2500 0.2500
Th 0.0000 0.0000 0.0000

***

Entry 12:
Material: PrTmNiAg
Method: DFT, GGA-PBE
State: relaxed

Summary:
- crystal system = cubic
- energy relative to the elements (meV/atom) = -255.9

Cell: 5.0504 5.0504 5.0504 Å, 60.00 60.00 60.00°
Sites, in units of the cell vectors:
Pr 0.5000 0.5000 0.5000
Ni 0.7500 0.7500 0.7500
Tm 0.0000 0.0000 0.0000
Ag 0.2500 0.2500 0.2500

***

Record order is preserved below.
Spin magnetization: 0.00, 0.00, 0.00, 0.00, 0.00, 0.00, 5.75, 0.00, 0.00, 0.00, 0.00, 0.00 μB per formula unit
Record order is preserved below.
DOS at the Fermi energy: 11.8, 12.0, 12.2, 22.6, 11.6, 1.8, 13.2, 3.5, 4.4, 2.6, 4.1, 2.1 states/eV per cell